1.
Entry from Alexandria via LeMat-Bulk: a relaxed structure of KBe2TlI6 (GGA-PBE).

```
KBe2TlI6
1.0
8.0125 -0.9394 -0.0403
-1.9132 7.8373 -0.0403
-2.2689 -2.5660 16.9633
K Be Tl I
2 4 2 12
direct
0.5380 0.4620 0.2500 K
0.4620 0.5380 0.7500 K
0.3888 0.0252 0.6786 Be
0.9748 0.6112 0.8214 Be
0.6112 0.9748 0.3214 Be
0.0252 0.3888 0.1786 Be
0.1065 0.8935 0.2500 Tl
0.8935 0.1065 0.7500 Tl
0.8367 0.5013 0.1099 I
0.4987 0.1633 0.3901 I
0.1633 0.4987 0.8901 I
0.5013 0.8367 0.6099 I
0.1382 0.1982 0.1123 I
0.8018 0.8618 0.3877 I
0.8618 0.8018 0.8877 I
0.1982 0.1382 0.6123 I
0.1133 0.4828 0.3139 I
0.5172 0.8867 0.1861 I
0.8867 0.5172 0.6861 I
0.4828 0.1133 0.8139 I
```

Calculated values
raw formation energy: -707 kJ/mol of formula units
mass density: 3.29 g/cm3



2.
Entry from Alexandria via LeMat-Bulk: a relaxed structure of Na2LiDyBr6 (GGA-PBE).

```
Na2LiDyBr6
1.0
7.3168 0.0002 -0.0025
3.6586 6.3357 -0.0023
3.6557 2.1112 6.5015
Na Li Dy Br
2 1 1 6
direct
0.5243 0.5242 0.4277 Na
0.0181 0.0181 0.9456 Na
0.8112 0.8115 0.5657 Li
0.3246 0.3245 0.0263 Dy
0.5877 0.2023 0.2591 Br
0.2023 0.9512 0.2591 Br
0.9512 0.5877 0.2590 Br
0.4442 0.7041 0.7576 Br
0.7042 0.0938 0.7576 Br
0.0939 0.4442 0.7574 Br
```

Calculated values
raw formation energy: -1610 kJ/mol of formula units
mass density: 3.83 g/cm3



3.
Entry from Alexandria via LeMat-Bulk: a relaxed structure of LiCdPt (GGA-PBE).

```
LiCdPt
1.0
-0.9167 3.3424 -3.9170
-3.2058 1.1358 -3.9734
-2.0996 2.1516 1.0365
Cd Li Pt
1 1 1
direct
0.0018 0.0018 0.9982 Cd
0.6821 0.6821 0.3179 Li
0.3161 0.3161 0.6839 Pt
```

Calculated values
ΔE to the lowest computed polymorph: 70.7 meV per atom
E_form: -0.40 eV per atom
mass density: 10.93 g/cm3



4.
Entry from Alexandria via LeMat-Bulk: a relaxed structure of ZrCu12 (GGA-PBE).

```
ZrCu12
1.0
-0.5687 4.1922 2.2011
0.2789 -0.5957 6.3729
5.5928 2.9847 0.9264
Zr Cu
1 12
direct
0.0000 0.0000 0.0000 Zr
0.5000 0.0000 0.5000 Cu
0.0000 0.0000 0.5000 Cu
0.5000 0.5000 0.0000 Cu
0.0000 0.5000 0.0000 Cu
0.0000 0.6477 0.3523 Cu
0.0000 0.3523 0.6477 Cu
0.6477 0.3523 0.3523 Cu
0.3523 0.6477 0.6477 Cu
0.5000 0.2147 0.7853 Cu
0.5000 0.7853 0.2147 Cu
0.7147 0.7853 0.7853 Cu
0.2853 0.2147 0.2147 Cu
```

Calculated values
ΔE to the lowest computed polymorph: 0.0 meV per atom
E_form: -0.01 eV per atom
mass density: 8.41 g/cm3